Entry 1:
The following is a GGA-PBE calculation of ErAgTe3Pb after structural relaxation, from the Open Quantum Materials Database.

a = 19.5223 Å, b = 4.3364 Å, c = 9.0107 Å
α = 90.00°, β = 102.19°, γ = 90.00°
Closest atoms and distances in Å follow each position.
Space group C2/m (No. 12)
Unique sites:
Er 0.1628 0.0000 0.0888 (multiplicity 4)  6 Te 3.06-3.11
Ag 0.0405 0.5000 0.2128 (multiplicity 4)  4 Te 2.82-2.89
Te 0.0000 0.0000 0.0000 (multiplicity 2)  4 Ag 2.89, 2 Er 3.11
Te 0.0000 0.5000 0.5000 (multiplicity 2)  2 Ag 2.86
Te 0.1750 0.5000 0.8557 (multiplicity 4)  3 Er 3.06-3.10, 2 Pb 3.32
Te 0.1862 0.5000 0.3351 (multiplicity 4)  1 Ag 2.82, 2 Er 3.07
Pb 0.1290 0.0000 0.5730 (multiplicity 4)  7 Te 3.28-3.53

E_tot	-4.1128	eV/atom
excess energy over the best structure of this formula in the dataset	0.50	kcal/mol of atoms

=====

Entry 2:
The following is a GGA-PBE calculation of ErAgTe3Pb after structural relaxation, from the Open Quantum Materials Database.

a = 9.0644 Å, b = 4.5379 Å, c = 17.7239 Å
α = 90.00°, β = 90.00°, γ = 90.00°
Closest atoms and distances in Å follow each position.
Space group Pnma (No. 62)
Unique sites:
Er 0.2484 0.2500 0.0319 (multiplicity 4)  7 Te 3.05-3.31
Ag 0.1284 0.7500 0.8608 (multiplicity 4)  4 Te 2.77-2.82
Te 0.0272 0.7500 0.0882 (multiplicity 4)  2 Ag 2.82
Te 0.1104 0.2500 0.4421 (multiplicity 4)  1 Ag 2.77, 2 Er 3.05
Te 0.1907 0.7500 0.7055 (multiplicity 4)  1 Ag 2.81, 1 Er 3.13
Pb 0.0708 0.7500 0.2737 (multiplicity 4)  5 Te 3.30-3.36

E_tot	-4.0684	eV/atom
excess energy over the best structure of this formula in the dataset	1.53	kcal/mol of atoms

=====

Entry 3:
The following is a GGA-PBE calculation of ErAgPd after structural relaxation, from the Open Quantum Materials Database.

a = 6.5747 Å, b = 6.5747 Å, c = 6.5747 Å
α = 90.00°, β = 90.00°, γ = 90.00°
Closest atoms and distances in Å follow each position.
Space group F-43m (No. 216)
Unique sites:
Er 0.0000 0.0000 0.0000 (multiplicity 4)  4 Ag 2.85, 4 Pd 2.85
Ag 0.2500 0.2500 0.7500 (multiplicity 4)  4 Er 2.85
Pd 0.2500 0.2500 0.2500 (multiplicity 4)  4 Er 2.85

E_tot	-4.3387	eV/atom
ΔH_f (0 K)	-0.151	eV/atom
excess energy over the best structure of this formula in the dataset	7.77	kcal/mol of atoms